LiMg2Sb, optimized geometry, DFT GGA-PBEsol; final energy = -10.6 eV/cell; symmetry = Cmmm (65); D(E_F) = 0.371 states/eV/atom; uncorrected formation energy = -0.159 eV/atom; magnetization = 0.00 μB per formula unit
1.0
-0.571 -1.363 3.079
4.340 -2.756 -0.416
1.242 4.488 2.217
Sb Mg Li
1 2 1
Direct
0.500 0.000 0.000
0.000 0.500 0.000
0.000 0.000 0.500
0.500 0.500 0.500